1.
Entry from the Alexandria database: crystalline CdCuRu2 at its relaxed geometry (PBE).

Calculated values
Its formation energy from the elements is 413 meV per atom. The value obtained for the density of states at the Fermi level is 0.9724 states/eV/atom. The value obtained for the total magnetization is 2.15 μB/cell. As for the total energy: -5.48 eV per atom.

a = 2.831 Å, b = 4.680 Å, c = 9.305 Å
α = 90.00°, β = 90.00°, γ = 90.00°
Space group Cmm2 (No. 35)
One atom of each set of equivalent atoms:
Cd 0.000 0.000 0.000
Cu 0.000 0.500 0.259
Ru 0.000 0.000 0.495
Ru 0.000 0.500 0.727

---

2.
Entry from the Alexandria database: crystalline MgMnTeW2 at its relaxed geometry (PBE).

Calculated values
The value obtained for the density of states at the Fermi level is 1.2922 states/eV/atom. The value obtained for the total magnetization is 3.89 μB/cell. As for the formation energy (no corrections): 2123 meV per atom. As for the total energy: -5.84 eV per atom.

a = 4.780 Å, b = 4.780 Å, c = 4.391 Å
α = 90.00°, β = 90.00°, γ = 90.00°
Space group P4/mmm (No. 123)
One atom of each set of equivalent atoms:
Mg 0.000 0.000 0.000
Mn 0.000 0.000 0.500
Te 0.500 0.500 0.500
W 0.000 0.500 0.000

---

3.
Entry from the Alexandria database: crystalline TbCeS3 at its relaxed geometry (PBE).

Calculated values
The value obtained for the density of states at the Fermi level is 1.1984 states/eV/atom. The value obtained for the total magnetization is 1.78 μB/cell. The calculation puts the energy above the most stable polymorph in this dataset at 0.0350 eV/atom. As for the formation energy (no corrections): -2020 meV per atom. As for the total energy: -6.61 eV per atom.

a = 7.847 Å, b = 3.954 Å, c = 7.881 Å
α = 90.00°, β = 94.20°, γ = 90.00°
Space group P2_1/m (No. 11)
One atom of each set of equivalent atoms:
Tb 0.177 0.250 0.145
Ce 0.267 0.250 0.619
S 0.116 0.750 0.376
S 0.180 0.750 0.898
S 0.479 0.250 0.321

---

4.
Entry from the Alexandria database: crystalline Li3Ca2Bi2 at its relaxed geometry (PBE).

Calculated values
Its formation energy from the elements is -575 meV per atom. The value obtained for the density of states at the Fermi level is 0.3443 states/eV/atom. The value obtained for the total magnetization is 0.00 μB/cell. As for the total energy: -3.08 eV per atom.

a = 11.133 Å, b = 4.855 Å, c = 6.956 Å
α = 90.00°, β = 103.79°, γ = 90.00°
Space group C2/m (No. 12)
One atom of each set of equivalent atoms:
Li 0.000 0.000 0.000
Li 0.123 0.000 0.435
Ca 0.141 0.500 0.759
Bi 0.156 0.500 0.237

---

5.
Entry from the Alexandria database: crystalline CuSb2Cl at its relaxed geometry (PBE).

Calculated values
The value obtained for the density of states at the Fermi level is 0.1735 states/eV/atom. The value obtained for the total magnetization is 0.00 μB/cell. The calculation puts the energy above the most stable polymorph in this dataset at 0.0120 eV/atom. As for the formation energy (no corrections): -137 meV per atom. As for the total energy: -3.68 eV per atom.

a = 3.8850 Å, b = 3.8850 Å, c = 25.4253 Å
α = 90.00°, β = 90.00°, γ = 120.00°
Space group R3m (No. 160, hexagonal axes)
One atom of each set of equivalent atoms:
Cu 0.0000 0.0000 0.0000
Sb 0.0000 0.0000 0.2573
Sb 0.0000 0.0000 0.5190
Cl 0.0000 0.0000 0.7031

---

6.
Entry from the Alexandria database: crystalline TaAlIn2Cu at its relaxed geometry (PBE).

Calculated values
Its formation energy from the elements is 781 meV per atom. The value obtained for the density of states at the Fermi level is 0.7928 states/eV/atom. The value obtained for the total magnetization is 0.00 μB/cell. As for the total energy: -4.25 eV per atom.

a = 4.740 Å, b = 4.740 Å, c = 4.969 Å
α = 90.00°, β = 90.00°, γ = 90.00°
Space group P4/mmm (No. 123)
One atom of each set of equivalent atoms:
Ta 0.000 0.000 0.000
Al 0.500 0.500 0.000
In 0.000 0.500 0.500
Cu 0.000 0.000 0.500

---

7.
Entry from the Alexandria database: crystalline Y6Ho2Tm3Zr at its relaxed geometry (PBE).

Calculated values
Its formation energy from the elements is 52 meV per atom. The value obtained for the density of states at the Fermi level is 1.3658 states/eV/atom. The value obtained for the total magnetization is 0.00 μB/cell. As for the total energy: -5.77 eV per atom.

a = 6.078 Å, b = 10.510 Å, c = 11.622 Å
α = 90.00°, β = 99.97°, γ = 90.00°
Space group C2/m (No. 12)
One atom of each set of equivalent atoms:
Y 0.245 0.000 0.255
Y 0.246 0.164 0.746
Ho 0.000 0.333 0.500
Tm 0.000 0.167 0.000
Tm 0.000 0.500 0.000
Zr 0.000 0.000 0.500

---

8.
Entry from the Alexandria database: crystalline YCoTc2 at its relaxed geometry (PBE).

Calculated values
Its formation energy from the elements is 599 meV per atom. The value obtained for the density of states at the Fermi level is 1.4372 states/eV/atom. The value obtained for the total magnetization is 4.20 μB/cell. The calculation puts the energy above the most stable polymorph in this dataset at 0.4933 eV/atom. As for the total energy: -7.98 eV per atom.

a = 2.8304 Å, b = 2.8304 Å, c = 28.0495 Å
α = 90.00°, β = 90.00°, γ = 120.00°
Space group R-3m (No. 166, hexagonal axes)
One atom of each set of equivalent atoms:
Y 0.0000 0.0000 0.0000
Co 0.0000 0.0000 0.5000
Tc 0.0000 0.0000 0.2375

---

9.
Entry from the Alexandria database: crystalline Nd4Dy3Rh4 at its relaxed geometry (PBE).

Calculated values
Its formation energy from the elements is -515 meV per atom. The value obtained for the density of states at the Fermi level is 0.7246 states/eV/atom. The value obtained for the total magnetization is 0.00 μB/cell. As for the total energy: -6.18 eV per atom.

a = 3.693 Å, b = 9.014 Å, c = 16.536 Å
α = 90.00°, β = 90.00°, γ = 90.00°
Space group Immm (No. 71)
One atom of each set of equivalent atoms:
Nd 0.000 0.186 0.164
Dy 0.000 0.000 0.402
Dy 0.000 0.500 0.500
Rh 0.000 0.283 0.000
Rh 0.000 0.500 0.236

---

10.
Entry from the Alexandria database: crystalline La2GdAg at its relaxed geometry (PBE).

Calculated values
Its formation energy from the elements is -105 meV per atom. The value obtained for the density of states at the Fermi level is 1.4671 states/eV/atom. The value obtained for the total magnetization is 8.23 μB/cell. The calculation puts the energy above the most stable polymorph in this dataset at 0.0000 eV/atom. As for the total energy: -6.80 eV per atom.

a = 3.769 Å, b = 3.769 Å, c = 8.921 Å
α = 90.00°, β = 90.00°, γ = 90.00°
Space group P4/mmm (No. 123)
One atom of each set of equivalent atoms:
La 0.000 0.000 0.218
Gd 0.500 0.500 0.500
Ag 0.500 0.500 0.000

---

11.
Entry from the Alexandria database: crystalline CaInSe2 at its relaxed geometry (PBE).

Calculated values
The value obtained for the density of states at the Fermi level is 0.2723 states/eV/atom. The value obtained for the total magnetization is 0.00 μB/cell. As for the formation energy (no corrections): -1154 meV per atom. As for the total energy: -4.08 eV per atom.

a = 4.198 Å, b = 3.960 Å, c = 12.688 Å
α = 90.00°, β = 90.00°, γ = 90.00°
Space group Amm2 (No. 38)
One atom of each set of equivalent atoms:
Ca 0.000 0.000 0.000
In 0.500 0.000 0.234
Se 0.000 0.000 0.696
Se 0.500 0.000 0.445

---

12.
Entry from the Alexandria database: crystalline Ho3Er2Al at its relaxed geometry (PBE).

Calculated values
Its formation energy from the elements is -82 meV per atom. The value obtained for the density of states at the Fermi level is 1.3379 states/eV/atom. The value obtained for the total magnetization is 0.00 μB/cell. As for the total energy: -4.52 eV per atom.

a = 5.284 Å, b = 10.157 Å, c = 6.367 Å
α = 90.00°, β = 90.00°, γ = 90.00°
Space group Pmc2_1 (No. 26)
One atom of each set of equivalent atoms:
Ho 0.000 0.047 0.000
Ho 0.000 0.265 0.378
Ho 0.500 0.425 0.204
Er 0.000 0.399 0.882
Er 0.500 0.205 0.734
Al 0.500 0.107 0.262

---

13.
Entry from the Alexandria database: crystalline Ni6IrRh at its relaxed geometry (PBE).

Calculated values
Its formation energy from the elements is 40 meV per atom. The value obtained for the density of states at the Fermi level is 1.7238 states/eV/atom. The value obtained for the total magnetization is 45.07 μB/cell. The calculation puts the energy above the most stable polymorph in this dataset at 0.0000 eV/atom. As for the total energy: -6.32 eV per atom.

a = 7.235 Å, b = 10.267 Å, c = 10.279 Å
α = 90.00°, β = 90.00°, γ = 90.00°
Space group Cmmm (No. 65)
One atom of each set of equivalent atoms:
Ni 0.000 0.000 0.000
Ni 0.000 0.000 0.500
Ni 0.000 0.249 0.250
Ni 0.000 0.500 0.000
Ni 0.000 0.500 0.500
Ni 0.249 0.125 0.125
Ni 0.249 0.125 0.375
Ir 0.000 0.000 0.249
Ir 0.000 0.251 0.500
Rh 0.000 0.251 0.000
Rh 0.000 0.500 0.249

---

14.
Entry from the Alexandria database: crystalline KBaSn2Rh at its relaxed geometry (PBE).

Calculated values
Its formation energy from the elements is 1404 meV per atom. The value obtained for the density of states at the Fermi level is 1.6282 states/eV/atom. The value obtained for the total magnetization is 1.43 μB/cell. As for the total energy: -2.27 eV per atom.

a = 6.150 Å, b = 6.150 Å, c = 6.221 Å
α = 90.00°, β = 90.00°, γ = 90.00°
Space group P4/mmm (No. 123)
One atom of each set of equivalent atoms:
K 0.000 0.000 0.000
Ba 0.000 0.000 0.500
Sn 0.000 0.500 0.500
Rh 0.500 0.500 0.000

---

15.
Entry from the Alexandria database: crystalline CaPr3Au7 at its relaxed geometry (PBE).

Calculated values
Its formation energy from the elements is -687 meV per atom. The value obtained for the density of states at the Fermi level is 0.4527 states/eV/atom. The value obtained for the total magnetization is 0.00 μB/cell. As for the total energy: -4.26 eV per atom.

a = 3.927 Å, b = 22.334 Å, c = 12.786 Å
α = 90.00°, β = 90.00°, γ = 90.00°
Space group Cmcm (No. 63)
One atom of each set of equivalent atoms:
Ca 0.000 0.005 0.250
Pr 0.000 0.141 0.559
Pr 0.000 0.192 0.250
Au 0.000 0.278 0.568
Au 0.000 0.378 0.250
Au 0.000 0.404 0.633
Au 0.000 0.464 0.083

---

16.
Entry from the Alexandria database: crystalline TbDy4Mg2 at its relaxed geometry (PBE).

Calculated values
Its formation energy from the elements is 69 meV per atom. The value obtained for the density of states at the Fermi level is 1.3396 states/eV/atom. The value obtained for the total magnetization is 0.00 μB/cell. As for the total energy: -3.68 eV per atom.

a = 5.4384 Å, b = 5.4384 Å, c = 24.1199 Å
α = 90.00°, β = 90.00°, γ = 120.00°
Space group R-3m (No. 166, hexagonal axes)
One atom of each set of equivalent atoms:
Tb 0.0000 0.0000 0.0000
Dy 0.0000 0.0000 0.2927
Dy 0.0000 0.0000 0.4321
Mg 0.0000 0.0000 0.1491

---

17.
Entry from the Alexandria database: crystalline Ce2TmIr2 at its relaxed geometry (PBE).

Calculated values
Its formation energy from the elements is -682 meV per atom. The value obtained for the density of states at the Fermi level is 1.7841 states/eV/atom. The value obtained for the total magnetization is 3.41 μB/cell. As for the total energy: -7.49 eV per atom.

a = 3.918 Å, b = 13.030 Å, c = 9.813 Å
α = 90.00°, β = 90.00°, γ = 90.00°
Space group Cmc2_1 (No. 36)
One atom of each set of equivalent atoms:
Ce 0.000 0.098 0.000
Ce 0.000 0.361 0.172
Tm 0.000 0.348 0.807
Ir 0.000 0.002 0.252
Ir 0.000 0.251 0.512

---

18.
Entry from the Alexandria database: crystalline Tb7Pm2In2 at its relaxed geometry (PBE).

Calculated values
Its formation energy from the elements is -102 meV per atom. The value obtained for the density of states at the Fermi level is 1.4004 states/eV/atom. The value obtained for the total magnetization is 0.00 μB/cell. As for the total energy: -4.41 eV per atom.

a = 8.760 Å, b = 9.249 Å, c = 8.607 Å
α = 90.00°, β = 103.32°, γ = 90.00°
Space group C2/m (No. 12)
One atom of each set of equivalent atoms:
Tb 0.000 0.000 0.000
Tb 0.161 0.000 0.424
Tb 0.240 0.310 0.214
Pm 0.100 0.500 0.850
In 0.000 0.322 0.500

---

19.
Entry from the Alexandria database: crystalline NaPr2Sn4Pt3 at its relaxed geometry (PBE).

Calculated values
Its formation energy from the elements is -695 meV per atom. The value obtained for the density of states at the Fermi level is 0.6326 states/eV/atom. The value obtained for the total magnetization is 0.00 μB/cell. As for the total energy: -5.20 eV per atom.

a = 4.528 Å, b = 4.528 Å, c = 11.498 Å
α = 90.00°, β = 90.00°, γ = 90.00°
Space group P-4m2 (No. 115)
One atom of each set of equivalent atoms:
Na 0.000 0.000 0.000
Pr 0.000 0.500 0.747
Sn 0.000 0.000 0.500
Sn 0.000 0.500 0.143
Sn 0.500 0.500 0.500
Pt 0.000 0.500 0.371
Pt 0.500 0.500 0.000

---

20.
Entry from the Alexandria database: crystalline ZrSc2Mo at its relaxed geometry (PBE).

Calculated values
Its formation energy from the elements is 192 meV per atom. The value obtained for the density of states at the Fermi level is 1.4249 states/eV/atom. The value obtained for the total magnetization is 0.00 μB/cell. The calculation puts the energy above the most stable polymorph in this dataset at 0.1351 eV/atom. As for the total energy: -7.82 eV per atom.

a = 5.868 Å, b = 9.420 Å, c = 2.978 Å
α = 90.00°, β = 90.00°, γ = 90.00°
Space group Cmmm (No. 65)
One atom of each set of equivalent atoms:
Zr 0.000 0.000 0.000
Sc 0.250 0.250 0.500
Mo 0.000 0.500 0.000